Ir2WF2: relaxed, GGA+U.

Lattice parameters (Å, degrees): 4.830 4.830 5.992 90.00 90.00 90.00
Sites, in units of the cell vectors:
Ir: 0.000 0.500 0.250
Ir: 0.000 0.500 0.750
Ir: 0.500 0.000 0.250
Ir: 0.500 0.000 0.750
W: 0.000 0.000 0.000
W: 0.500 0.500 0.500
F: 0.000 0.000 0.333
F: 0.000 0.000 0.667
F: 0.500 0.500 0.167
F: 0.500 0.500 0.833

Output
Calculated total energy: -5.393 eV/atom
E above lowest polymorph: 0 meV per atom